(1)
MgP3: optimized geometry, GGA-PBE.

Cell: 5.0091 5.0091 5.0091 Å, 90.00 90.00 90.00°
Last column: nearest neighbours and their distance in Å.
Atoms (fractional coordinates):
Mg (0.0000, 0.0000, 0.0000)  12 P 2.80
Mg (0.5000, 0.5000, 0.5000)  12 P 2.80
P (0.7500, 0.5000, 0.0000)  2 P 2.50, 4 Mg 2.80
P (0.2500, 0.5000, 0.0000)  2 P 2.50, 4 Mg 2.80
P (0.0000, 0.7500, 0.5000)  2 P 2.50, 4 Mg 2.80
P (0.0000, 0.2500, 0.5000)  2 P 2.50, 4 Mg 2.80
P (0.5000, 0.0000, 0.2500)  2 P 2.50, 4 Mg 2.80
P (0.5000, 0.0000, 0.7500)  2 P 2.50, 4 Mg 2.80

Calculated values
- uncorrected energy (eV per atom) = -4.10
- N(E_F) (states/eV/f.u.) = 2.2
- energy relative to the elements (meV per atom) = 354



(2)
Mg2P: optimized geometry, GGA-PBE.

Cell: 6.3624 6.3624 6.3624 Å, 90.00 90.00 90.00°
Last column: nearest neighbours and their distance in Å.
Atoms (fractional coordinates):
P (0.0000, 0.0000, 0.0000)  6 Mg 2.61
P (0.5000, 0.5000, 0.0000)  6 Mg 2.61
P (0.5000, 0.0000, 0.5000)  6 Mg 2.61
P (0.0000, 0.5000, 0.5000)  6 Mg 2.61
Mg (0.6436, 0.6436, 0.3564)  3 P 2.61
Mg (0.3564, 0.3564, 0.6436)  3 P 2.61
Mg (0.1436, 0.8564, 0.6436)  3 P 2.61
Mg (0.8564, 0.1436, 0.3564)  3 P 2.61
Mg (0.3564, 0.1436, 0.1436)  3 P 2.61
Mg (0.6436, 0.8564, 0.8564)  3 P 2.61
Mg (0.8564, 0.3564, 0.8564)  3 P 2.61
Mg (0.1436, 0.6436, 0.1436)  3 P 2.61

Calculated values
- uncorrected energy (eV per atom) = -3.16
- N(E_F) (states/eV/f.u.) = 1.1
- energy relative to the elements (meV per atom) = -295
- polymorph energy (0 for the lowest one) (meV/atom) = 158



(3)
Mg2P: optimized geometry, GGA-PBE.

Cell: 12.0463 12.0463 12.0463 Å, 164.63 164.63 21.81°
Last column: nearest neighbours and their distance in Å.
Atoms (fractional coordinates):
Mg (0.5672, 0.5672, 0.0000)  4 P 2.78
Mg (0.1828, 0.6828, 0.5000)  4 P 2.78
Mg (0.4328, 0.4328, 0.0000)  4 P 2.78
Mg (0.3172, 0.8172, 0.5000)  4 P 2.78
P (0.0000, 0.0000, 0.0000)  8 Mg 2.78
P (0.7500, 0.2500, 0.5000)  8 Mg 2.78

Calculated values
- uncorrected energy (eV per atom) = -2.97
- N(E_F) (states/eV/f.u.) = 1.1
- energy relative to the elements (meV per atom) = -99
- polymorph energy (0 for the lowest one) (meV/atom) = 354



(4)
Mg2P: optimized geometry, GGA-PBE.

Cell: 4.1321 6.9670 7.9156 Å, 90.00 90.00 90.00°
Last column: nearest neighbours and their distance in Å.
Atoms (fractional coordinates):
P (0.2500, 0.7447, 0.3877)  7 Mg 2.63-2.81
P (0.7500, 0.7553, 0.8877)  7 Mg 2.63-2.81
P (0.2500, 0.2447, 0.1123)  7 Mg 2.63-2.81
P (0.7500, 0.2553, 0.6123)  7 Mg 2.63-2.81
Mg (0.2500, 0.0230, 0.8352)  3 P 2.68-2.81
Mg (0.7500, 0.4770, 0.3352)  3 P 2.68-2.81
Mg (0.2500, 0.5230, 0.6648)  3 P 2.68-2.81
Mg (0.7500, 0.9770, 0.1648)  3 P 2.68-2.81
Mg (0.2500, 0.1335, 0.4303)  4 P 2.63-2.73
Mg (0.7500, 0.3665, 0.9303)  4 P 2.63-2.73
Mg (0.2500, 0.6335, 0.0697)  4 P 2.63-2.73
Mg (0.7500, 0.8665, 0.5697)  4 P 2.63-2.73

Calculated values
- uncorrected energy (eV per atom) = -3.22
- N(E_F) (states/eV/f.u.) = 1.1
- energy relative to the elements (meV per atom) = -355
- polymorph energy (0 for the lowest one) (meV/atom) = 98



(5)
MgP3: optimized geometry, GGA-PBE.

Cell: 3.2635 5.0957 4.4091 Å, 90.00 90.00 90.00°
Last column: nearest neighbours and their distance in Å.
Atoms (fractional coordinates):
Mg (0.0000, 0.0000, 0.1543)  6 P 2.59-2.80
P (0.5000, 0.0000, 0.6692)  2 P 2.57, 4 Mg 2.69-2.80
P (0.5000, 0.5000, 0.5897)  2 P 2.20
P (0.0000, 0.5000, 0.2534)  2 P 2.20

Calculated values
- uncorrected energy (eV per atom) = -4.58
- N(E_F) (states/eV/f.u.) = 0.8
- energy relative to the elements (meV per atom) = -125



(6)
MgP3: optimized geometry, GGA-PBE.

Cell: 4.3536 4.3536 3.5053 Å, 90.00 90.00 105.45°
Last column: nearest neighbours and their distance in Å.
Atoms (fractional coordinates):
Mg (0.0000, 0.0000, 0.0000)  10 P 2.64-2.79
P (0.0000, 0.5000, 0.5000)  6 P 2.64-2.79, 4 Mg 2.79
P (0.5000, 0.0000, 0.5000)  6 P 2.64-2.79, 4 Mg 2.79
P (0.5000, 0.5000, 0.0000)  2 Mg 2.64, 8 P 2.79

Calculated values
- uncorrected energy (eV per atom) = -4.18
- N(E_F) (states/eV/f.u.) = 1.7
- energy relative to the elements (meV per atom) = 276



(7)
Mg2P: optimized geometry, GGA-PBE.

Cell: 6.6347 6.6347 6.6347 Å, 147.25 131.33 59.90°
Last column: nearest neighbours and their distance in Å.
Atoms (fractional coordinates):
Mg (0.7027, 0.7027, 0.0000)  4 P 2.58-2.82
Mg (0.2425, 0.0000, 0.2425)  2 Mg 2.65-2.82, 4 P 2.82
Mg (0.7575, 0.0000, 0.7575)  2 Mg 2.65-2.82, 4 P 2.82
Mg (0.2973, 0.2973, 0.0000)  4 P 2.58-2.82
P (0.8575, 0.3575, 0.5000)  8 Mg 2.58-2.82
P (0.1425, 0.6425, 0.5000)  8 Mg 2.58-2.82

Calculated values
- uncorrected energy (eV per atom) = -3.23
- N(E_F) (states/eV/f.u.) = 0.5
- energy relative to the elements (meV per atom) = -361
- polymorph energy (0 for the lowest one) (meV/atom) = 92



(8)
Mg2P: optimized geometry, GGA-PBE.

Cell: 3.9603 6.0538 5.2200 Å, 90.00 90.00 90.00°
Last column: nearest neighbours and their distance in Å.
Atoms (fractional coordinates):
Mg (0.0000, 0.4351, 0.9005)  3 P 2.59-2.61
Mg (0.5000, 0.5649, 0.4005)  3 P 2.59-2.61
Mg (0.0000, 0.9273, 0.1085)  4 P 2.65-2.76
Mg (0.5000, 0.0727, 0.6085)  4 P 2.65-2.76
P (0.0000, 0.7816, 0.6096)  7 Mg 2.59-2.76
P (0.5000, 0.2184, 0.1096)  7 Mg 2.59-2.76

Calculated values
- uncorrected energy (eV per atom) = -3.23
- N(E_F) (states/eV/f.u.) = 1.5
- energy relative to the elements (meV per atom) = -366
- polymorph energy (0 for the lowest one) (meV/atom) = 87



(9)
MgP3: optimized geometry, GGA-PBE.

Cell: 3.3357 3.3357 6.9244 Å, 90.00 90.00 120.00°
Last column: nearest neighbours and their distance in Å.
Atoms (fractional coordinates):
Mg (0.0000, 0.0000, 0.0000)  6 P 2.71
P (0.0000, 0.0000, 0.5000)  6 P 2.48
P (0.6667, 0.3333, 0.2748)  3 P 2.48, 3 Mg 2.71
P (0.6667, 0.3333, 0.7252)  3 P 2.48, 3 Mg 2.71

Calculated values
- uncorrected energy (eV per atom) = -4.30
- N(E_F) (states/eV/f.u.) = 1.6
- energy relative to the elements (meV per atom) = 153



(10)
Mg2P: optimized geometry, GGA-PBE.

Cell: 8.8252 6.8504 4.4305 Å, 90.00 100.69 90.00°
Last column: nearest neighbours and their distance in Å.
Atoms (fractional coordinates):
Mg (0.0000, 0.5092, 0.0000)  4 P 2.64-2.70
Mg (0.0000, 0.0092, 0.5000)  4 P 2.64-2.70
Mg (0.7105, 0.1500, 0.0632)  3 P 2.53-2.60
Mg (0.2895, 0.1500, 0.9368)  3 P 2.53-2.60
Mg (0.7105, 0.6500, 0.5632)  3 P 2.53-2.60
Mg (0.2895, 0.6500, 0.4368)  3 P 2.53-2.60
Mg (0.5000, 0.2924, 0.5000)  2 P 2.66
Mg (0.5000, 0.7924, 0.0000)  2 P 2.66
P (0.8066, 0.7951, 0.1080)  6 Mg 2.53-2.70
P (0.1934, 0.7951, 0.8920)  6 Mg 2.53-2.70
P (0.8066, 0.2951, 0.6080)  6 Mg 2.53-2.70
P (0.1934, 0.2951, 0.3920)  6 Mg 2.53-2.70

Calculated values
- uncorrected energy (eV per atom) = -3.25
- N(E_F) (states/eV/f.u.) = 0.4
- energy relative to the elements (meV per atom) = -384
- polymorph energy (0 for the lowest one) (meV/atom) = 69



(11)
MgP5: optimized geometry, GGA-PBE.

Cell: 7.7860 7.7860 3.3647 Å, 90.00 90.00 149.43°
Last column: nearest neighbours and their distance in Å.
Atoms (fractional coordinates):
Mg (0.0036, 0.9964, 0.0000)  10 P 2.80-3.12
P (0.3467, 0.6533, 0.0000)  2 P 2.24
P (0.6384, 0.3616, 0.0000)  2 P 2.30
P (0.4447, 0.5553, 0.5000)  2 P 2.24
P (0.7429, 0.2571, 0.5000)  4 P 2.30-2.42
P (0.1570, 0.8430, 0.5000)  6 P 2.42-2.67

Calculated values
- uncorrected energy (eV per atom) = -4.60
- N(E_F) (states/eV/f.u.) = 1.1
- energy relative to the elements (meV per atom) = 172
- polymorph energy (0 for the lowest one) (meV/atom) = 93



(12)
MgP3: optimized geometry, GGA-PBE.

Cell: 3.3418 2.8102 6.8678 Å, 90.00 90.00 90.00°
Last column: nearest neighbours and their distance in Å.
Atoms (fractional coordinates):
Mg (0.0000, 0.0000, 0.0000)  8 P 2.79, 2 Mg 2.81
P (0.5000, 0.5000, 0.7477)  2 P 2.38
P (0.0000, 0.5000, 0.5000)  4 P 2.38
P (0.5000, 0.5000, 0.2523)  2 P 2.38

Calculated values
- uncorrected energy (eV per atom) = -4.39
- N(E_F) (states/eV/f.u.) = 0.9
- energy relative to the elements (meV per atom) = 67



(13)
MgP5: optimized geometry, GGA-PBE.

Cell: 4.8207 4.8207 4.9826 Å, 90.00 90.00 120.00°
Last column: nearest neighbours and their distance in Å.
Atoms (fractional coordinates):
Mg (0.0000, 0.0000, 0.5000)  12 P 2.78-2.81
P (0.7317, 0.0000, 0.0000)  2 P 2.24
P (0.2683, 0.2683, 0.0000)  2 P 2.24
P (0.0000, 0.7317, 0.0000)  2 P 2.24
P (0.6667, 0.3333, 0.5000)  3 Mg 2.78, 9 P 2.78-3.06
P (0.3333, 0.6667, 0.5000)  3 Mg 2.78, 9 P 2.78-3.06

Calculated values
- uncorrected energy (eV per atom) = -4.34
- N(E_F) (states/eV/f.u.) = 2.9
- energy relative to the elements (meV per atom) = 431
- polymorph energy (0 for the lowest one) (meV/atom) = 351